[1]
## Cs2DyPbCl6 (GGA-PBE)

Data for an optimized crystal structure of Cs2DyPbCl6.

Calculated values
total energy: -3.867 eV/atom
energy relative to the elements, uncorrected: -17.57 eV/f.u.

a = 8.085 Å, b = 8.085 Å, c = 8.085 Å
α = 60.00°, β = 60.00°, γ = 60.00°
Fractional coordinates of all 10 atoms:
Cs: 0.250 0.250 0.250
Cs: 0.750 0.750 0.750
Dy: 0.000 0.000 0.000
Pb: 0.500 0.500 0.500
Cl: 0.232 0.232 0.768
Cl: 0.232 0.768 0.232
Cl: 0.232 0.768 0.768
Cl: 0.768 0.232 0.232
Cl: 0.768 0.232 0.768
Cl: 0.768 0.768 0.232

***

[2]
## YMn9Si4 (GGA-PBE)

Data for an optimized crystal structure of YMn9Si4.

Calculated values
total energy: -8.291 eV/atom
energy relative to the elements, uncorrected: -5.39 eV/f.u.

a = 8.029 Å, b = 8.029 Å, c = 8.029 Å
α = 121.62°, β = 121.62°, γ = 87.22°
Fractional coordinates of all 28 atoms:
Y: 0.250 0.250 0.000
Y: 0.750 0.750 0.000
Mn: 0.000 0.500 0.500
Mn: 0.057 0.557 0.261
Mn: 0.058 0.810 0.868
Mn: 0.190 0.058 0.249
Mn: 0.204 0.943 0.500
Mn: 0.296 0.796 0.739
Mn: 0.310 0.558 0.868
Mn: 0.442 0.310 0.751
Mn: 0.443 0.704 0.500
Mn: 0.500 0.000 0.500
Mn: 0.557 0.296 0.500
Mn: 0.558 0.690 0.249
Mn: 0.690 0.442 0.132
Mn: 0.704 0.204 0.261
Mn: 0.796 0.057 0.500
Mn: 0.810 0.942 0.751
Mn: 0.942 0.190 0.132
Mn: 0.943 0.443 0.739
Si: 0.054 0.201 0.500
Si: 0.201 0.701 0.147
Si: 0.299 0.446 0.500
Si: 0.446 0.946 0.147
Si: 0.554 0.054 0.853
Si: 0.701 0.554 0.500
Si: 0.799 0.299 0.853
Si: 0.946 0.799 0.500

***

[3]
## ZrPaB4 (GGA-PBE)

Data for an optimized crystal structure of ZrPaB4.

Calculated values
calculated formation energy: -570.6 meV/atom
total energy: -8.030 eV/atom

a = 6.230 Å, b = 6.230 Å, c = 6.230 Å
α = 147.37°, β = 147.37°, γ = 46.82°
Fractional coordinates of all 6 atoms:
Zr: 0.000 0.000 0.000
Pa: 0.750 0.250 0.500
B: 0.164 0.664 0.500
B: 0.336 0.836 0.500
B: 0.422 0.422 0.000
B: 0.578 0.578 0.000

***

[4]
## GaAsPd3 (GGA-PBE)

Data for an optimized crystal structure of GaAsPd3.

Calculated values
calculated formation energy: -459.7 meV/atom
total energy: -5.111 eV/atom

a = 8.238 Å, b = 4.877 Å, c = 9.846 Å
α = 90.00°, β = 122.91°, γ = 90.00°
Fractional coordinates of all 20 atoms:
Ga: 0.235 0.230 0.111
Ga: 0.235 0.270 0.611
Ga: 0.765 0.730 0.389
Ga: 0.765 0.770 0.889
As: 0.263 0.749 0.423
As: 0.263 0.751 0.923
As: 0.737 0.249 0.077
As: 0.737 0.251 0.577
Pd: 0.019 0.541 0.155
Pd: 0.019 0.959 0.655
Pd: 0.373 0.247 0.419
Pd: 0.373 0.253 0.919
Pd: 0.381 0.746 0.721
Pd: 0.381 0.754 0.221
Pd: 0.619 0.246 0.779
Pd: 0.619 0.254 0.279
Pd: 0.627 0.747 0.081
Pd: 0.627 0.753 0.581
Pd: 0.981 0.041 0.345
Pd: 0.981 0.459 0.845

***

[5]
## LiPuPd14 (GGA-PBE)

Data for an optimized crystal structure of LiPuPd14.

Calculated values
calculated formation energy: -198.4 meV/atom
total energy: -5.758 eV/atom

a = 5.676 Å, b = 5.676 Å, c = 7.868 Å
α = 90.00°, β = 90.00°, γ = 90.00°
Fractional coordinates of all 16 atoms:
Li: 0.000 0.000 0.000
Pu: 0.500 0.500 0.000
Pd: 0.000 0.000 0.500
Pd: 0.000 0.500 0.000
Pd: 0.000 0.500 0.500
Pd: 0.248 0.248 0.251
Pd: 0.248 0.248 0.749
Pd: 0.248 0.752 0.251
Pd: 0.248 0.752 0.749
Pd: 0.500 0.000 0.000
Pd: 0.500 0.000 0.500
Pd: 0.500 0.500 0.500
Pd: 0.752 0.248 0.251
Pd: 0.752 0.248 0.749
Pd: 0.752 0.752 0.251
Pd: 0.752 0.752 0.749

***

[6]
## ZrMnAs2 (GGA-PBE)

Data for an optimized crystal structure of ZrMnAs2.

Calculated values
calculated formation energy: -210.2 meV/atom
total energy: -6.964 eV/atom

a = 3.046 Å, b = 3.046 Å, c = 8.378 Å
α = 90.00°, β = 90.00°, γ = 90.00°
Fractional coordinates of all 4 atoms:
Zr: 0.000 0.000 0.000
Mn: 0.500 0.500 0.783
As: 0.000 0.000 0.645
As: 0.500 0.500 0.243

***

[7]
## TlGa3Ag2 (GGA-PBE)

Data for an optimized crystal structure of TlGa3Ag2.

Calculated values
calculated formation energy: 46.8 meV/atom
total energy: -2.811 eV/atom

a = 6.629 Å, b = 6.629 Å, c = 5.691 Å
α = 90.00°, β = 90.00°, γ = 83.89°
Fractional coordinates of all 12 atoms:
Tl: 0.158 0.842 0.750
Tl: 0.842 0.158 0.250
Ga: 0.088 0.614 0.250
Ga: 0.386 0.912 0.250
Ga: 0.496 0.504 0.250
Ga: 0.504 0.496 0.750
Ga: 0.614 0.088 0.750
Ga: 0.912 0.386 0.750
Ag: 0.253 0.253 0.000
Ag: 0.253 0.253 0.500
Ag: 0.747 0.747 0.000
Ag: 0.747 0.747 0.500

***

[8]
## SnIr2Se5 (GGA-PBE)

Data for an optimized crystal structure of SnIr2Se5.

Calculated values
total energy: -5.284 eV/atom
energy relative to the elements, uncorrected: -3.12 eV/f.u.

a = 7.751 Å, b = 3.814 Å, c = 13.870 Å
α = 90.00°, β = 101.63°, γ = 90.00°
Fractional coordinates of all 16 atoms:
Sn: 0.162 0.000 0.312
Sn: 0.838 0.000 0.688
Ir: 0.248 0.000 0.136
Ir: 0.256 0.500 0.861
Ir: 0.744 0.500 0.139
Ir: 0.752 0.000 0.864
Se: 0.043 0.500 0.097
Se: 0.191 0.000 0.738
Se: 0.237 0.500 0.437
Se: 0.334 0.000 0.975
Se: 0.459 0.500 0.202
Se: 0.541 0.500 0.798
Se: 0.666 0.000 0.025
Se: 0.763 0.500 0.563
Se: 0.809 0.000 0.262
Se: 0.957 0.500 0.903